No. 1
AlSiS2, relaxed, DFT PBE; distance to the lowest polymorph of the same formula = 0 meV/atom; symmetry = R-3m (166); energy relative to the elements, uncorrected = -0.38 eV per atom; magnetic moment = 0.0 μB/cell
1.0
-6.7757 -2.6574 2.9028
-4.6935 -2.8335 5.5982
-6.1964 0.1207 4.7946
S Si Al
2 1 1
Direct
0.8922 0.8922 0.8922
0.1078 0.1078 0.1078
0.0000 0.0000 0.0000
0.5000 0.5000 0.5000


No. 2
TmMgCd3, relaxed, DFT PBE; distance to the lowest polymorph of the same formula = 0 meV/atom; energy of formation = -188 meV per atom; symmetry = C2/m (12); magnetic moment = 0.0 μB/cell
1.0
-2.9846 2.1109 3.2580
1.4460 -4.6413 4.3319
6.6315 4.2889 -0.3838
Cd Tm Mg
6 2 2
Direct
0.9842 0.7679 0.9684
0.5942 0.4448 0.1885
0.1800 0.7476 0.3600
0.4058 0.5552 0.8115
0.0158 0.2321 0.0316
0.8200 0.2524 0.6400
0.3867 0.0322 0.7733
0.6133 0.9678 0.2267
0.2160 0.2983 0.4319
0.7840 0.7017 0.5681


No. 3
La2NdTl3Te6, relaxed, DFT PBE; symmetry = C2/m (12); energy relative to the elements, uncorrected = -1.13 eV per atom; magnetic moment = 0.0 μB/cell
1.0
-6.1823 -3.5077 3.7331
4.2069 -4.0728 -5.4932
5.6903 -0.1384 6.4159
Nd Tl Te La
1 3 6 2
Direct
0.0000 0.0000 0.0000
0.8326 0.1674 0.5000
0.1674 0.8326 0.5000
0.5000 0.5000 0.5000
0.4033 0.0737 0.2210
0.7445 0.7445 0.2220
0.2555 0.2555 0.7780
0.5967 0.9263 0.7790
0.0737 0.4033 0.2210
0.9263 0.5967 0.7790
0.6665 0.3335 0.0000
0.3335 0.6665 0.0000


No. 4
BeZn2Ga2Ni5, relaxed, DFT PBE; energy of formation = -176 meV per atom; symmetry = P4/mbm (127); magnetic moment = 0.0 μB/cell
1.0
-1.0592 -2.3814 -0.5080
7.7542 -4.2509 3.7599
-4.1853 0.0162 8.6497
Zn Ni Be Ga
4 10 2 4
Direct
0.0000 0.1584 0.3416
0.0000 0.6584 0.1584
0.0000 0.8416 0.6584
0.0000 0.3416 0.8416
0.5000 0.5000 0.0000
0.5000 0.0000 0.5000
0.5000 0.6909 0.4920
0.5000 0.0080 0.8091
0.5000 0.9920 0.1909
0.5000 0.4920 0.3091
0.5000 0.8091 0.9920
0.5000 0.3091 0.5080
0.5000 0.5080 0.6909
0.5000 0.1909 0.0080
0.0000 0.0000 0.0000
0.0000 0.5000 0.5000
0.0000 0.3468 0.1532
0.0000 0.8468 0.3468
0.0000 0.6532 0.8468
0.0000 0.1532 0.6532